A geometry-optimized YMgN3 structure, computed with PBE.

Computed properties:
As for the total DFT energy (no corrections): -5.612 eV per atom. For the calculated volume, the calculation gives 85.4 Å³ per cell. As for the crystal system: cubic. For the calculated density, the calculation gives 3.0 g cm⁻³. The value obtained for the raw formation energy is 0.995 eV per atom. The total magnetic moment is 0.798 μB per atom.

abc: 4.4045 4.4045 4.4045
angles: 90.00 90.00 90.00
Last column: nearest neighbours and their distance in Å.
Sites, in units of the cell vectors:
Y1 0.0000 0.0000 0.0000  6 N 2.20
Mg1 0.5000 0.5000 0.5000  12 N 3.11
N1 0.0000 0.5000 0.0000  2 Y 2.20
N2 0.0000 0.0000 0.5000  2 Y 2.20
N3 0.5000 0.0000 0.0000  2 Y 2.20